Entry 1:
Computed, not measured: a relaxed structure of Al3SiRh at the GGA-PBE level of DFT.

Structure (POSCAR):
```
Al3SiRh
1.0
4.621 0.000 0.000
0.000 4.621 0.000
0.000 0.000 4.621
Al Si Rh
3 1 1
Cartesian
0.000 0.000 2.311
0.000 2.311 0.000
2.311 0.000 0.000
0.000 0.000 0.000
2.311 2.311 2.311
```

Properties
Calculated volume (Å³ per cell): 99
ΔE to the lowest computed polymorph (meV/atom): 631

---

Entry 2:
Computed, not measured: a relaxed structure of Al2SiRh at the GGA-PBE level of DFT.

Structure (POSCAR):
```
Al2SiRh
1.0
8.605 0.000 0.000
0.000 2.964 0.000
-0.598 0.000 4.509
Al Si Rh
4 2 2
Cartesian
1.945 0.000 1.100
1.759 1.482 3.409
6.247 1.482 1.100
6.062 0.000 3.409
-0.299 0.000 2.254
4.003 1.482 2.254
0.000 1.482 0.000
4.302 0.000 0.000
```

Properties
Calculated volume (Å³ per cell): 115

---

no.,calculated density (kg/m3),raw formation energy (eV/atom)
1,3565,0.774
2,5341,-0.380